A geometry-optimized PrTmInHg structure, computed with PBE.

Unit cell a=5.383 b=5.383 c=5.383 alpha=60.00 beta=60.00 gamma=60.00
Sites, in units of the cell vectors:
Pr: 0.000 0.000 0.000
Tm: 0.500 0.500 0.500
In: 0.750 0.750 0.750
Hg: 0.250 0.250 0.250

Computed properties:
Its density of states at the Fermi level is 1.151 states/eV/atom. The value obtained for the formation energy is -1.78 eV per formula unit. The volume is 110.3 Å³ per cell. The space group is No. 216. The calculation puts the density at 9.4 Mg/m³.

=====

A geometry-optimized Pr2YIn2Hg2 structure, computed with PBE.

Unit cell a=9.906 b=9.906 c=9.906 alpha=28.78 beta=28.78 gamma=28.78
Sites, in units of the cell vectors:
Pr: 0.128 0.128 0.128
Pr: 0.872 0.872 0.872
Y: 0.000 0.000 0.000
In: 0.261 0.261 0.261
In: 0.739 0.739 0.739
Hg: 0.387 0.387 0.387
Hg: 0.613 0.613 0.613

Computed properties:
Its density of states at the Fermi level is 0.636 states/eV/atom. The value obtained for the formation energy is -2.21 eV per formula unit. The volume is 199.2 Å³ per cell. The space group is No. 166. The calculation puts the density at 8.4 Mg/m³.

=====

A geometry-optimized InHgPt2 structure, computed with PBE.

Unit cell a=3.008 b=3.996 c=6.016 alpha=90.00 beta=90.23 gamma=90.00
Sites, in units of the cell vectors:
In: 0.000 0.000 0.000
Hg: 0.000 0.000 0.500
Pt: 0.499 0.500 0.759
Pt: 0.501 0.500 0.241

Computed properties:
Its density of states at the Fermi level is 0.353 states/eV/atom. The value obtained for the formation energy is -0.73 eV per formula unit. Its excess energy over the best structure of this formula in the dataset is 0.007 eV per atom. The volume is 72.3 Å³ per cell. The space group is No. 10. The calculation puts the density at 16.2 Mg/m³.

=====

A geometry-optimized InHgPt2 structure, computed with PBE.

Unit cell a=5.995 b=5.995 c=5.995 alpha=103.31 beta=103.31 gamma=122.65
Sites, in units of the cell vectors:
In: 0.000 0.000 0.000
In: 0.750 0.250 0.500
Hg: 0.250 0.750 0.500
Hg: 0.500 0.500 0.000
Pt: 0.116 0.625 0.991
Pt: 0.375 0.366 0.491
Pt: 0.634 0.125 0.009
Pt: 0.875 0.884 0.509

Computed properties:
Its density of states at the Fermi level is 0.401 states/eV/atom. The value obtained for the formation energy is 0.00 eV per formula unit. Its excess energy over the best structure of this formula in the dataset is 0.188 eV per atom. The volume is 159.2 Å³ per cell. The space group is No. 122. The calculation puts the density at 14.7 Mg/m³.

=====

A geometry-optimized InHgPt2 structure, computed with PBE.

Unit cell a=3.012 b=3.012 c=7.997 alpha=90.00 beta=90.00 gamma=90.00
Sites, in units of the cell vectors:
In: 0.000 0.000 0.000
Hg: 0.000 0.000 0.500
Pt: 0.500 0.500 0.236
Pt: 0.500 0.500 0.764

Computed properties:
Its density of states at the Fermi level is 0.438 states/eV/atom. The value obtained for the formation energy is -0.76 eV per formula unit. Its excess energy over the best structure of this formula in the dataset is 0.000 eV per atom. The volume is 72.6 Å³ per cell. The space group is No. 123. The calculation puts the density at 16.1 Mg/m³.

=====

A geometry-optimized InHg2Pt structure, computed with PBE.

Unit cell a=9.447 b=9.447 c=9.447 alpha=20.19 beta=20.19 gamma=20.19
Sites, in units of the cell vectors:
In: 0.000 0.000 0.000
Hg: 0.242 0.242 0.242
Hg: 0.758 0.758 0.758
Pt: 0.500 0.500 0.500

Computed properties:
Its density of states at the Fermi level is 0.344 states/eV/atom. The value obtained for the formation energy is 0.43 eV per formula unit. The volume is 87.9 Å³ per cell. The space group is No. 166. The calculation puts the density at 13.4 Mg/m³.

=====

Which value of density does entry 4 give?
14.7 Mg/m³

=====

Please write out number 2 again, unchanged.
A geometry-optimized Pr2YIn2Hg2 structure, computed with PBE.

Unit cell a=9.906 b=9.906 c=9.906 alpha=28.78 beta=28.78 gamma=28.78
Sites, in units of the cell vectors:
Pr: 0.128 0.128 0.128
Pr: 0.872 0.872 0.872
Y: 0.000 0.000 0.000
In: 0.261 0.261 0.261
In: 0.739 0.739 0.739
Hg: 0.387 0.387 0.387
Hg: 0.613 0.613 0.613

Computed properties:
Its density of states at the Fermi level is 0.636 states/eV/atom. The value obtained for the formation energy is -2.21 eV per formula unit. The volume is 199.2 Å³ per cell. The space group is No. 166. The calculation puts the density at 8.4 Mg/m³.

=====

Which of these has the highest density?
number 3